This record from Alexandria describes a relaxed structure of RbSnTePt2. The functional is PBE.

Cell lengths 5.0794, 6.1892, 5.0794 Å; angles 90.00, 90.00, 90.00 degrees
Sites, in units of the cell vectors:
Rb 0.0000 0.5000 0.0000
Te 0.0000 0.0000 0.0000
Sn 0.5000 0.5000 0.5000
Pt 0.0000 0.0000 0.5000
Pt 0.5000 0.0000 0.0000

=====

This record from Alexandria describes a relaxed structure of AgCO2. The functional is PBE.

Cell lengths 3.4320, 7.0613, 8.9806 Å; angles 90.00, 85.43, 90.00 degrees
Sites, in units of the cell vectors:
C 0.5000 0.3894 0.5000
C 0.0000 0.1106 0.0000
C 0.5000 0.6106 0.5000
C 0.0000 0.8894 0.0000
O 0.1157 0.1893 0.1152
O 0.8843 0.8107 0.8848
O 0.3843 0.3107 0.3848
O 0.6157 0.3107 0.6152
O 0.8843 0.1893 0.8848
O 0.3843 0.6893 0.3848
O 0.1157 0.8107 0.1152
O 0.6157 0.6893 0.6152
Ag 0.8212 0.5000 0.8593
Ag 0.3212 0.0000 0.3593
Ag 0.1788 0.5000 0.1407
Ag 0.6788 0.0000 0.6407

=====

Energy relative to the elements, uncorrected for every record listed, in sequence, given in eV/atom: 0.523, -0.751.